## Tc2PdPt2 (PBE)

Data for a geometry-optimized Tc2PdPt2 structure.

Lattice parameters (Å, degrees): 7.649 7.649 2.737 90.00 90.00 90.00
Atoms (fractional coordinates):
1 Tc 0.175 0.325 0.000
2 Tc 0.325 0.825 0.000
3 Tc 0.675 0.175 0.000
4 Tc 0.825 0.675 0.000
5 Pd 0.000 0.000 0.500
6 Pd 0.500 0.500 0.500
7 Pt 0.123 0.623 0.500
8 Pt 0.377 0.123 0.500
9 Pt 0.623 0.877 0.500
10 Pt 0.877 0.377 0.500

Values from the calculation:
Formation enthalpy at 0 K, eV/atom: 0.1688
M_tot, μB/cell: 0.00
ΔE to the lowest computed polymorph, meV/atom: 288
Density of states at the Fermi level, states/eV/cell: 13.99
Uncorrected energy, eV per formula unit: -37.162